Computed, not measured: a geometry-optimized YSiB structure at the PBE level of DFT.

a = 8.1053 Å, b = 8.1053 Å, c = 8.1053 Å
α = 156.57°, β = 152.74°, γ = 36.25°
Closest atoms and distances in Å follow each position.
Element x y z (fractional)
1 Y 0.0000 0.0000 0.0000  8 Si 2.94-3.18, 2 B 3.08
2 Y 0.2183 0.2183 0.0000  6 B 2.58-2.67, 1 Si 2.83
3 Si 0.4022 0.4022 0.0000  2 B 2.20
4 Si 0.6255 0.6255 0.0000  1 B 2.29
5 B 0.7744 0.7744 0.0000  2 B 1.86
6 B 0.8311 0.3311 0.5000  2 B 1.86

Output
spin magnetization	0.00	Bohr magnetons per cell
mass density	4.38	g/cm³
formation energy without anion corrections	-0.255	eV/atom
V	16.14	Å³/atom